1.
## LiPtPb3 (PBE)

Data for a geometry-optimized LiPtPb3 structure.

a = 4.4409 Å, b = 8.7589 Å, c = 6.2868 Å
α = 90.00°, β = 90.00°, γ = 90.00°
Closest atoms and distances in Å follow each position.
Space group Pmmn (No. 59, origin choice 2)
Symmetry-distinct sites (fractional):
Li 0.2500 0.2500 0.0616  1 Pt 2.61, 2 Pb 2.92
Pt 0.2500 0.2500 0.4771  1 Li 2.61, 2 Pb 2.84
Pb 0.2500 0.5538 0.7140  3 Pt 3.05, 2 Li 3.14
Pb 0.2500 0.7500 0.2400  2 Pt 2.84, 2 Li 2.92

Values from the calculation:
calculated total energy	-4.032	eV per atom
crystal system	orthorhombic
formation energy from the elements	-216.6	meV/atom
ΔE to the lowest computed polymorph	0	meV/atom

***

2.
## Li3Pt2Pb2 (PBE)

Data for a geometry-optimized Li3Pt2Pb2 structure.

a = 8.1604 Å, b = 4.6853 Å, c = 7.2928 Å
α = 90.00°, β = 111.36°, γ = 90.00°
Closest atoms and distances in Å follow each position.
Space group C2/m (No. 12)
Symmetry-distinct sites (fractional):
Li 0.0000 0.0000 0.0000  2 Li 2.90, 6 Pt 2.94-2.95, 6 Pb 3.19-3.22
Li 0.1430 0.0000 0.4269  1 Pt 2.74, 4 Li 2.88-2.90, 3 Pb 2.96-2.97
Pt 0.2232 0.5000 0.1696  4 Li 2.74-2.95, 4 Pb 2.76-2.84
Pb 0.0837 0.5000 0.7509  4 Pt 2.76-2.84, 3 Li 2.96-2.97

Values from the calculation:
calculated total energy	-4.048	eV per atom
crystal system	monoclinic
formation energy from the elements	-442.1	meV/atom

***

3.
## LiPtPb2 (PBE)

Data for a geometry-optimized LiPtPb2 structure.

a = 9.1196 Å, b = 9.1196 Å, c = 5.1956 Å
α = 90.00°, β = 90.00°, γ = 90.00°
Closest atoms and distances in Å follow each position.
Space group I-42d (No. 122)
Symmetry-distinct sites (fractional):
Li 0.0000 0.0000 0.0000  2 Pt 2.60
Pt 0.0000 0.0000 0.5000  2 Li 2.60, 4 Pb 2.75
Pb 0.1520 0.2500 0.6250  2 Pt 2.75

Values from the calculation:
calculated total energy	-3.990	eV per atom
crystal system	tetragonal
formation energy from the elements	-147.1	meV/atom
ΔE to the lowest computed polymorph	109	meV/atom

***

Please write out number 1 again, unchanged.
## LiPtPb3 (PBE)

Data for a geometry-optimized LiPtPb3 structure.

a = 4.4409 Å, b = 8.7589 Å, c = 6.2868 Å
α = 90.00°, β = 90.00°, γ = 90.00°
Closest atoms and distances in Å follow each position.
Space group Pmmn (No. 59, origin choice 2)
Symmetry-distinct sites (fractional):
Li 0.2500 0.2500 0.0616  1 Pt 2.61, 2 Pb 2.92
Pt 0.2500 0.2500 0.4771  1 Li 2.61, 2 Pb 2.84
Pb 0.2500 0.5538 0.7140  3 Pt 3.05, 2 Li 3.14
Pb 0.2500 0.7500 0.2400  2 Pt 2.84, 2 Li 2.92

Values from the calculation:
calculated total energy	-4.032	eV per atom
crystal system	orthorhombic
formation energy from the elements	-216.6	meV/atom
ΔE to the lowest computed polymorph	0	meV/atom